# TaZn2Cr | the Alexandria database | meta-GGA SCAN | PBEsol geometry
# Energy relative to the elements ... 0.1274 eV per atom
# Calculated volume ... 14.2 A^3/atom
# Density of states at the Fermi level ... 2.9 states/eV/f.u.
# Distance to the lowest polymorph of the same formula ... 38 meV per atom
# Energy ... -27.87 eV/atom
data_TaZn2Cr
_chemical_formula_sum 'Ta2 Zn4 Cr2'
_cell_length_a 3.216
_cell_length_b 4.199
_cell_length_c 8.426
_cell_angle_alpha 90.00
_cell_angle_beta 90.00
_cell_angle_gamma 90.00
_space_group_name_H-M_alt 'P 1'
_space_group_IT_number 1
loop_
_space_group_symop_operation_xyz
'x,y,z'
loop_
_atom_site_label
_atom_site_type_symbol
_atom_site_fract_x
_atom_site_fract_y
_atom_site_fract_z
Ta1 Ta 0.000 0.000 0.000
Ta2 Ta 0.500 0.500 0.000
Zn1 Zn 0.000 0.000 0.515
Zn2 Zn 0.000 0.500 0.268
Zn3 Zn 0.500 0.000 0.268
Zn4 Zn 0.500 0.500 0.515
Cr1 Cr 0.000 0.500 0.750
Cr2 Cr 0.500 0.000 0.750

=====

# Zr2TaCr | the Alexandria database | meta-GGA SCAN | PBEsol geometry
# Energy relative to the elements ... 0.2733 eV per atom
# Calculated volume ... 18.1 A^3/atom
# Density of states at the Fermi level ... 5.3 states/eV/f.u.
# Distance to the lowest polymorph of the same formula ... 35 meV per atom
# Energy ... -36.32 eV/atom
data_Zr2TaCr
_chemical_formula_sum 'Zr4 Ta2 Cr2'
_cell_length_a 5.704
_cell_length_b 9.170
_cell_length_c 2.951
_cell_angle_alpha 90.00
_cell_angle_beta 110.53
_cell_angle_gamma 90.00
_space_group_name_H-M_alt 'P 1'
_space_group_IT_number 1
loop_
_space_group_symop_operation_xyz
'x,y,z'
loop_
_atom_site_label
_atom_site_type_symbol
_atom_site_fract_x
_atom_site_fract_y
_atom_site_fract_z
Zr1 Zr 0.250 0.250 0.000
Zr2 Zr 0.250 0.750 0.000
Zr3 Zr 0.750 0.250 0.000
Zr4 Zr 0.750 0.750 0.000
Ta1 Ta 0.000 0.000 0.500
Ta2 Ta 0.500 0.500 0.500
Cr1 Cr 0.000 0.500 0.500
Cr2 Cr 0.500 0.000 0.500

=====

# Zr2TaCr | the Alexandria database | meta-GGA SCAN | PBEsol geometry
# Energy relative to the elements ... 0.2387 eV per atom
# Calculated volume ... 18.1 A^3/atom
# Density of states at the Fermi level ... 4.3 states/eV/f.u.
# Distance to the lowest polymorph of the same formula ... 0 meV per atom
# Energy ... -36.35 eV/atom
data_Zr2TaCr
_chemical_formula_sum 'Zr2 Ta1 Cr1'
_cell_length_a 3.024
_cell_length_b 4.197
_cell_length_c 5.836
_cell_angle_alpha 90.00
_cell_angle_beta 102.80
_cell_angle_gamma 90.00
_space_group_name_H-M_alt 'P 1'
_space_group_IT_number 1
loop_
_space_group_symop_operation_xyz
'x,y,z'
loop_
_atom_site_label
_atom_site_type_symbol
_atom_site_fract_x
_atom_site_fract_y
_atom_site_fract_z
Zr1 Zr 0.000 0.000 0.000
Zr2 Zr 0.293 0.500 0.705
Ta1 Ta 0.605 0.000 0.444
Cr1 Cr 0.794 0.500 0.241

=====

# Zr2TaCr | the Alexandria database | meta-GGA SCAN | PBEsol geometry
# Energy relative to the elements ... 0.3217 eV per atom
# Calculated volume ... 17.7 A^3/atom
# Density of states at the Fermi level ... 5.4 states/eV/f.u.
# Distance to the lowest polymorph of the same formula ... 83 meV per atom
# Energy ... -36.27 eV/atom
data_Zr2TaCr
_chemical_formula_sum 'Zr4 Ta2 Cr2'
_cell_length_a 3.278
_cell_length_b 4.833
_cell_length_c 8.945
_cell_angle_alpha 90.00
_cell_angle_beta 90.00
_cell_angle_gamma 90.00
_space_group_name_H-M_alt 'P 1'
_space_group_IT_number 1
loop_
_space_group_symop_operation_xyz
'x,y,z'
loop_
_atom_site_label
_atom_site_type_symbol
_atom_site_fract_x
_atom_site_fract_y
_atom_site_fract_z
Zr1 Zr 0.000 0.000 0.222
Zr2 Zr 0.000 0.000 0.778
Zr3 Zr 0.500 0.500 0.222
Zr4 Zr 0.500 0.500 0.778
Ta1 Ta 0.000 0.500 0.500
Ta2 Ta 0.500 0.000 0.500
Cr1 Cr 0.000 0.500 0.000
Cr2 Cr 0.500 0.000 0.000

=====

# Cr5Tc | the Alexandria database | meta-GGA SCAN | PBEsol geometry
# Energy relative to the elements ... 0.0109 eV per atom
# Calculated volume ... 11.7 A^3/atom
# Density of states at the Fermi level ... 4.4 states/eV/f.u.
# Distance to the lowest polymorph of the same formula ... 6 meV per atom
# Energy ... -21.15 eV/atom
data_Cr5Tc
_chemical_formula_sum 'Cr10 Tc2'
_cell_length_a 2.859
_cell_length_b 12.079
_cell_length_c 4.054
_cell_angle_alpha 90.00
_cell_angle_beta 90.00
_cell_angle_gamma 90.00
_space_group_name_H-M_alt 'P 1'
_space_group_IT_number 1
loop_
_space_group_symop_operation_xyz
'x,y,z'
loop_
_atom_site_label
_atom_site_type_symbol
_atom_site_fract_x
_atom_site_fract_y
_atom_site_fract_z
Cr1 Cr 0.000 0.000 0.000
Cr2 Cr 0.000 0.171 0.500
Cr3 Cr 0.000 0.332 0.000
Cr4 Cr 0.000 0.668 0.000
Cr5 Cr 0.000 0.829 0.500
Cr6 Cr 0.500 0.168 0.000
Cr7 Cr 0.500 0.329 0.500
Cr8 Cr 0.500 0.500 0.000
Cr9 Cr 0.500 0.671 0.500
Cr10 Cr 0.500 0.832 0.000
Tc1 Tc 0.000 0.500 0.500
Tc2 Tc 0.500 0.000 0.500

=====

# CrTc2 | the Alexandria database | meta-GGA SCAN | PBEsol geometry
# Energy relative to the elements ... 0.0471 eV per atom
# Calculated volume ... 13.1 A^3/atom
# Density of states at the Fermi level ... 3.1 states/eV/f.u.
# Distance to the lowest polymorph of the same formula ... 0 meV per atom
# Energy ... -29.45 eV/atom
data_CrTc2
_chemical_formula_sum 'Cr2 Tc4'
_cell_length_a 2.953
_cell_length_b 2.953
_cell_length_c 9.034
_cell_angle_alpha 90.00
_cell_angle_beta 90.00
_cell_angle_gamma 90.00
_space_group_name_H-M_alt 'P 1'
_space_group_IT_number 1
loop_
_space_group_symop_operation_xyz
'x,y,z'
loop_
_atom_site_label
_atom_site_type_symbol
_atom_site_fract_x
_atom_site_fract_y
_atom_site_fract_z
Cr1 Cr 0.000 0.000 0.000
Cr2 Cr 0.500 0.500 0.500
Tc1 Tc 0.000 0.000 0.342
Tc2 Tc 0.000 0.000 0.658
Tc3 Tc 0.500 0.500 0.158
Tc4 Tc 0.500 0.500 0.842